## 1
Tb4Ho5Sc: relaxed, GGA-PBE.

The structure in CIF format:
```
data_Tb4Ho5Sc
_chemical_formula_sum 'Tb8 Ho10 Sc2'
_cell_length_a 17.406
_cell_length_b 3.446
_cell_length_c 10.841
_cell_angle_alpha 90.00
_cell_angle_beta 107.05
_cell_angle_gamma 90.00
_symmetry_space_group_name_H-M 'C 1 2/m 1'
_symmetry_Int_Tables_number 12
_symmetry_space_group_name_Hall '-C 2y'
loop_
_atom_site_label
_atom_site_fract_x
_atom_site_fract_y
_atom_site_fract_z
Tb1 0.092 0.000 0.308
Tb2 0.196 0.500 0.583
Ho1 0.000 0.500 0.000
Ho2 0.106 0.000 0.787
Ho3 0.206 0.000 0.098
Sc1 0.000 0.500 0.500
```

Calculated density (g/cm3): 8.04

## 2
Tb4Ho5Sc: relaxed, GGA-PBE.

The structure in CIF format:
```
data_Tb4Ho5Sc
_chemical_formula_sum 'Tb8 Ho10 Sc2'
_cell_length_a 10.549
_cell_length_b 10.549
_cell_length_c 5.736
_cell_angle_alpha 90.00
_cell_angle_beta 90.00
_cell_angle_gamma 90.00
_symmetry_space_group_name_H-M 'I 4 m m'
_symmetry_Int_Tables_number 107
_symmetry_space_group_name_Hall 'I 4 -2'
loop_
_atom_site_label
_atom_site_fract_x
_atom_site_fract_y
_atom_site_fract_z
Tb1 0.000 0.323 0.000
Ho1 0.000 0.000 0.227
Ho2 0.187 0.187 0.511
Sc1 0.000 0.000 0.757
```

Calculated density (g/cm3): 7.83

Short version: 1, 2, most stable first.

## 1
TbHoSc: relaxed, GGA-PBE.

The structure in CIF format:
```
data_TbHoSc
_chemical_formula_sum 'Tb1 Ho1 Sc1'
_cell_length_a 5.4534
_cell_length_b 5.4534
_cell_length_c 3.3673
_cell_angle_alpha 90.00
_cell_angle_beta 90.00
_cell_angle_gamma 120.00
_symmetry_space_group_name_H-M 'P -6 m 2'
_symmetry_Int_Tables_number 187
_symmetry_space_group_name_Hall 'P -6 2'
loop_
_atom_site_label
_atom_site_fract_x
_atom_site_fract_y
_atom_site_fract_z
Tb1 0.0000 0.0000 0.0000
Ho1 0.3333 0.6667 0.5000
Sc1 0.6667 0.3333 0.5000
```

Calculated density (g/cm3): 7.06

## 2
TbHoSc: relaxed, GGA-PBE.

The structure in CIF format:
```
data_TbHoSc
_chemical_formula_sum 'Tb4 Ho4 Sc4'
_cell_length_a 3.520
_cell_length_b 18.213
_cell_length_c 5.501
_cell_angle_alpha 90.00
_cell_angle_beta 90.00
_cell_angle_gamma 90.00
_symmetry_space_group_name_H-M 'C m c m'
_symmetry_Int_Tables_number 63
_symmetry_space_group_name_Hall '-C 2c 2'
loop_
_atom_site_label
_atom_site_fract_x
_atom_site_fract_y
_atom_site_fract_z
Tb1 0.000 0.220 0.250
Ho1 0.000 0.106 0.750
Sc1 0.000 0.447 0.750
```

Calculated density (g/cm3): 6.94

## 3
TbHoSc: relaxed, GGA-PBE.

The structure in CIF format:
```
data_TbHoSc
_chemical_formula_sum 'Tb2 Ho2 Sc2'
_cell_length_a 3.468
_cell_length_b 3.468
_cell_length_c 14.491
_cell_angle_alpha 90.00
_cell_angle_beta 90.00
_cell_angle_gamma 90.00
_symmetry_space_group_name_H-M 'I 4 m m'
_symmetry_Int_Tables_number 107
_symmetry_space_group_name_Hall 'I 4 -2'
loop_
_atom_site_label
_atom_site_fract_x
_atom_site_fract_y
_atom_site_fract_z
Tb1 0.000 0.000 0.000
Ho1 0.000 0.000 0.324
Sc1 0.000 0.000 0.662
```

Calculated density (g/cm3): 7.03

Short version: 2, 3, 1, most stable first.

## 1
TbHo2Sc2: relaxed, GGA-PBE.

The structure in CIF format:
```
data_TbHo2Sc2
_chemical_formula_sum 'Tb2 Ho4 Sc4'
_cell_length_a 3.389
_cell_length_b 5.418
_cell_length_c 15.552
_cell_angle_alpha 90.00
_cell_angle_beta 90.00
_cell_angle_gamma 90.00
_symmetry_space_group_name_H-M 'I m m m'
_symmetry_Int_Tables_number 71
_symmetry_space_group_name_Hall '-I 2 2'
loop_
_atom_site_label
_atom_site_fract_x
_atom_site_fract_y
_atom_site_fract_z
Tb1 0.000 0.000 0.000
Ho1 0.000 0.500 0.288
Sc1 0.000 0.000 0.403
```

Calculated density (g/cm3): 6.73

## 2
TbHo2Sc2: relaxed, GGA-PBE.

The structure in CIF format:
```
data_TbHo2Sc2
_chemical_formula_sum 'Tb4 Ho8 Sc8'
_cell_length_a 13.971
_cell_length_b 6.898
_cell_length_c 5.980
_cell_angle_alpha 90.00
_cell_angle_beta 98.12
_cell_angle_gamma 90.00
_symmetry_space_group_name_H-M 'P 1 21/c 1'
_symmetry_Int_Tables_number 14
_symmetry_space_group_name_Hall '-P 2ybc'
loop_
_atom_site_label
_atom_site_fract_x
_atom_site_fract_y
_atom_site_fract_z
Tb1 0.196 0.123 0.150
Ho1 0.197 0.627 0.145
Ho2 0.402 0.124 0.881
Sc1 0.000 0.125 0.750
Sc2 0.401 0.626 0.886
```

Calculated density (g/cm3): 6.74

Short version: 2, 1, most stable first.

## 1
Tb7Ho4Sc: relaxed, GGA-PBE.

The structure in CIF format:
```
data_Tb7Ho4Sc
_chemical_formula_sum 'Tb7 Ho4 Sc1'
_cell_length_a 6.420
_cell_length_b 6.730
_cell_length_c 9.046
_cell_angle_alpha 86.14
_cell_angle_beta 76.31
_cell_angle_gamma 82.32
_symmetry_space_group_name_H-M 'P -1'
_symmetry_Int_Tables_number 2
_symmetry_space_group_name_Hall '-P 1'
loop_
_atom_site_label
_atom_site_fract_x
_atom_site_fract_y
_atom_site_fract_z
Tb1 0.000 0.000 0.000
Tb2 0.191 0.605 0.383
Tb3 0.317 0.197 0.637
Tb4 0.497 0.745 0.050
Ho1 0.163 0.114 0.310
Ho2 0.348 0.688 0.720
Sc1 0.000 0.500 0.000
```

Calculated density (g/cm3): 8.02

## 2
Tb7Ho4Sc: relaxed, GGA-PBE.

The structure in CIF format:
```
data_Tb7Ho4Sc
_chemical_formula_sum 'Tb14 Ho8 Sc2'
_cell_length_a 18.091
_cell_length_b 5.541
_cell_length_c 8.546
_cell_angle_alpha 90.00
_cell_angle_beta 117.00
_cell_angle_gamma 90.00
_symmetry_space_group_name_H-M 'C 1 2/m 1'
_symmetry_Int_Tables_number 12
_symmetry_space_group_name_Hall '-C 2y'
loop_
_atom_site_label
_atom_site_fract_x
_atom_site_fract_y
_atom_site_fract_z
Tb1 0.000 0.000 0.000
Tb2 0.109 0.500 0.422
Tb3 0.155 0.500 0.890
Tb4 0.201 0.000 0.654
Ho1 0.028 0.000 0.693
Ho2 0.183 0.000 0.215
Sc1 0.000 0.500 0.000
```

Calculated density (g/cm3): 7.91

Short version: 1, 2, most stable first.

## 1
Tb2Ho3Sc2: relaxed, GGA-PBE.

The structure in CIF format:
```
data_Tb2Ho3Sc2
_chemical_formula_sum 'Tb4 Ho6 Sc4'
_cell_length_a 6.297
_cell_length_b 10.387
_cell_length_c 6.399
_cell_angle_alpha 90.00
_cell_angle_beta 92.02
_cell_angle_gamma 90.00
_symmetry_space_group_name_H-M 'P 1 21/c 1'
_symmetry_Int_Tables_number 14
_symmetry_space_group_name_Hall '-P 2ybc'
loop_
_atom_site_label
_atom_site_fract_x
_atom_site_fract_y
_atom_site_fract_z
Tb1 0.142 0.242 0.248
Ho1 0.000 0.000 0.000
Ho2 0.255 0.558 0.023
Sc1 0.449 0.646 0.524
```

Calculated density (g/cm3): 7.17

## 2
Tb2Ho3Sc2: relaxed, GGA-PBE.

The structure in CIF format:
```
data_Tb2Ho3Sc2
_chemical_formula_sum 'Tb4 Ho6 Sc4'
_cell_length_a 5.173
_cell_length_b 23.229
_cell_length_c 3.436
_cell_angle_alpha 90.00
_cell_angle_beta 90.00
_cell_angle_gamma 90.00
_symmetry_space_group_name_H-M 'C m m m'
_symmetry_Int_Tables_number 65
_symmetry_space_group_name_Hall '-C 2 2'
loop_
_atom_site_label
_atom_site_fract_x
_atom_site_fract_y
_atom_site_fract_z
Tb1 0.000 0.075 0.000
Ho1 0.000 0.344 0.500
Ho2 0.000 0.500 0.500
Sc1 0.000 0.216 0.000
```

Calculated density (g/cm3): 7.26

Short version: 2, 1, most stable first.

## 1
Tb2HoSc: relaxed, GGA-PBE.

The structure in CIF format:
```
data_Tb2HoSc
_chemical_formula_sum 'Tb2 Ho1 Sc1'
_cell_length_a 3.505
_cell_length_b 3.505
_cell_length_c 9.690
_cell_angle_alpha 90.00
_cell_angle_beta 90.00
_cell_angle_gamma 90.00
_symmetry_space_group_name_H-M 'P 4/m m m'
_symmetry_Int_Tables_number 123
_symmetry_space_group_name_Hall '-P 4 2'
loop_
_atom_site_label
_atom_site_fract_x
_atom_site_fract_y
_atom_site_fract_z
Tb1 0.000 0.000 0.240
Ho1 0.500 0.500 0.500
Sc1 0.500 0.500 0.000
```

Calculated density (g/cm3): 7.36

## 2
Tb2HoSc: relaxed, GGA-PBE.

The structure in CIF format:
```
data_Tb2HoSc
_chemical_formula_sum 'Tb4 Ho2 Sc2'
_cell_length_a 6.072
_cell_length_b 3.508
_cell_length_c 11.395
_cell_angle_alpha 90.00
_cell_angle_beta 100.23
_cell_angle_gamma 90.00
_symmetry_space_group_name_H-M 'C 1 m 1'
_symmetry_Int_Tables_number 8
_symmetry_space_group_name_Hall 'C -2y'
loop_
_atom_site_label
_atom_site_fract_x
_atom_site_fract_y
_atom_site_fract_z
Tb1 0.000 0.000 0.000
Tb2 0.159 0.000 0.481
Ho1 0.080 0.500 0.740
Sc1 0.246 0.500 0.239
```

Calculated density (g/cm3): 7.34

## 3
Tb2HoSc: relaxed, GGA-PBE.

The structure in CIF format:
```
data_Tb2HoSc
_chemical_formula_sum 'Tb8 Ho4 Sc4'
_cell_length_a 7.829
_cell_length_b 7.829
_cell_length_c 7.829
_cell_angle_alpha 90.00
_cell_angle_beta 90.00
_cell_angle_gamma 90.00
_symmetry_space_group_name_H-M 'F m -3 m'
_symmetry_Int_Tables_number 225
_symmetry_space_group_name_Hall '-F 4 2 3'
loop_
_atom_site_label
_atom_site_fract_x
_atom_site_fract_y
_atom_site_fract_z
Tb1 0.250 0.250 0.250
Ho1 0.000 0.000 0.000
Sc1 0.000 0.000 0.500
```

Calculated density (g/cm3): 7.31

Short version: 2, 1, 3, most stable first.

## 1
Tb2Ho7Sc2: relaxed, GGA-PBE.

The structure in CIF format:
```
data_Tb2Ho7Sc2
_chemical_formula_sum 'Tb4 Ho14 Sc4'
_cell_length_a 11.076
_cell_length_b 11.248
_cell_length_c 5.861
_cell_angle_alpha 90.00
_cell_angle_beta 112.81
_cell_angle_gamma 90.00
_symmetry_space_group_name_H-M 'C 1 2/m 1'
_symmetry_Int_Tables_number 12
_symmetry_space_group_name_Hall '-C 2y'
loop_
_atom_site_label
_atom_site_fract_x
_atom_site_fract_y
_atom_site_fract_z
Tb1 0.000 0.219 0.000
Ho1 0.000 0.000 0.500
Ho2 0.176 0.230 0.672
Ho3 0.239 0.000 0.101
Sc1 0.083 0.500 0.294
```

Calculated density (g/cm3): 7.71

## 2
Tb2Ho7Sc2: relaxed, GGA-PBE.

The structure in CIF format:
```
data_Tb2Ho7Sc2
_chemical_formula_sum 'Tb4 Ho14 Sc4'
_cell_length_a 3.589
_cell_length_b 17.513
_cell_length_c 10.880
_cell_angle_alpha 90.00
_cell_angle_beta 90.00
_cell_angle_gamma 90.00
_symmetry_space_group_name_H-M 'I m m 2'
_symmetry_Int_Tables_number 44
_symmetry_space_group_name_Hall 'I 2 -2'
loop_
_atom_site_label
_atom_site_fract_x
_atom_site_fract_y
_atom_site_fract_z
Tb1 0.000 0.000 0.000
Tb2 0.000 0.500 0.195
Ho1 0.000 0.139 0.576
Ho2 0.000 0.190 0.118
Ho3 0.000 0.346 0.357
Ho4 0.000 0.500 0.854
Sc1 0.000 0.307 0.859
```

Calculated density (g/cm3): 7.59

Short version: 2, 1, most stable first.

## 1
Tb3Ho6Sc: relaxed, GGA-PBE.

The structure in CIF format:
```
data_Tb3Ho6Sc
_chemical_formula_sum 'Tb6 Ho12 Sc2'
_cell_length_a 9.004
_cell_length_b 8.446
_cell_length_c 8.797
_cell_angle_alpha 90.00
_cell_angle_beta 101.09
_cell_angle_gamma 90.00
_symmetry_space_group_name_H-M 'C 1 2/m 1'
_symmetry_Int_Tables_number 12
_symmetry_space_group_name_Hall '-C 2y'
loop_
_atom_site_label
_atom_site_fract_x
_atom_site_fract_y
_atom_site_fract_z
Tb1 0.000 0.000 0.000
Tb2 0.219 0.000 0.735
Ho1 0.118 0.184 0.357
Ho2 0.118 0.500 0.865
Sc1 0.000 0.500 0.500
```

Calculated density (g/cm3): 7.65

## 2
Tb3Ho6Sc: relaxed, GGA-PBE.

The structure in CIF format:
```
data_Tb3Ho6Sc
_chemical_formula_sum 'Tb12 Ho24 Sc4'
_cell_length_a 10.840
_cell_length_b 18.776
_cell_length_c 6.139
_cell_angle_alpha 90.00
_cell_angle_beta 90.00
_cell_angle_gamma 90.00
_symmetry_space_group_name_H-M 'C m c 21'
_symmetry_Int_Tables_number 36
_symmetry_space_group_name_Hall 'C 2c -2'
loop_
_atom_site_label
_atom_site_fract_x
_atom_site_fract_y
_atom_site_fract_z
Tb1 0.000 0.111 0.000
Tb2 0.166 0.389 0.613
Ho1 0.000 0.221 0.428
Ho2 0.000 0.452 0.147
Ho3 0.165 0.046 0.529
Ho4 0.245 0.210 0.708
Sc1 0.000 0.294 0.935
```

Calculated density (g/cm3): 8.03

Short version: 2, 1, most stable first.

## 1
TbHo12Sc6: relaxed, GGA-PBE.

The structure in CIF format:
```
data_TbHo12Sc6
_chemical_formula_sum 'Tb3 Ho36 Sc18'
_cell_length_a 14.5390
_cell_length_b 14.5390
_cell_length_c 9.8149
_cell_angle_alpha 90.00
_cell_angle_beta 90.00
_cell_angle_gamma 120.00
_symmetry_space_group_name_H-M 'R -3 m'
_symmetry_Int_Tables_number 166
_symmetry_space_group_name_Hall '-R 3 2"'
loop_
_atom_site_label
_atom_site_fract_x
_atom_site_fract_y
_atom_site_fract_z
Tb1 0.0000 0.0000 0.0000
Ho1 0.0000 0.3879 0.5000
Ho2 0.0748 0.1495 0.2974
Sc1 0.0572 0.5286 0.2174
```

Calculated density (g/cm3): 6.68

## 2
TbHo12Sc6: relaxed, GGA-PBE.

The structure in CIF format:
```
data_TbHo12Sc6
_chemical_formula_sum 'Tb2 Ho24 Sc12'
_cell_length_a 10.400
_cell_length_b 10.400
_cell_length_c 10.400
_cell_angle_alpha 90.00
_cell_angle_beta 90.00
_cell_angle_gamma 90.00
_symmetry_space_group_name_H-M 'I m -3'
_symmetry_Int_Tables_number 204
_symmetry_space_group_name_Hall '-I 2 2 3'
loop_
_atom_site_label
_atom_site_fract_x
_atom_site_fract_y
_atom_site_fract_z
Tb1 0.000 0.000 0.000
Ho1 0.000 0.267 0.196
Sc1 0.000 0.138 0.500
```

Calculated density (g/cm3): 7.11

Short version: 2, 1, most stable first.